1.
Material: HgPdNO
Method: DFT, GGA-PBE
State: relaxed

```
data_HgPdNO
_chemical_formula_sum 'Hg2 Pd2 N2 O2'
_cell_length_a 4.345
_cell_length_b 4.345
_cell_length_c 6.287
_cell_angle_alpha 90.00
_cell_angle_beta 90.00
_cell_angle_gamma 90.00
_symmetry_space_group_name_H-M 'P 4/n m m'
_symmetry_Int_Tables_number 129
loop_
_symmetry_equiv_pos_as_xyz
'x,y,z'
'-x,-y,-z'
'-y+1/2,x,z'
'y+1/2,-x,-z'
'-x+1/2,-y+1/2,z'
'x+1/2,y+1/2,-z'
'y,-x+1/2,z'
'-y,x+1/2,-z'
'x+1/2,-y,-z'
'-x+1/2,y,z'
'-y,-x,-z'
'y,x,z'
'-x,y+1/2,-z'
'x,-y+1/2,z'
'y+1/2,x+1/2,-z'
'-y+1/2,-x+1/2,z'
loop_
_atom_site_label
_atom_site_type_symbol
_atom_site_fract_x
_atom_site_fract_y
_atom_site_fract_z
Hg1 Hg 0.250 0.750 0.000
Pd1 Pd 0.250 0.250 0.460
N1 N 0.250 0.250 0.147
O1 O 0.250 0.750 0.500
```

Calculated values
Crystal system: tetragonal
ΔE to the lowest computed polymorph (meV/atom): 258

2.
Material: AgTe5Pt3
Method: DFT, GGA-PBE
State: relaxed

```
data_AgTe5Pt3
_chemical_formula_sum 'Ag1 Te5 Pt3'
_cell_length_a 6.0146
_cell_length_b 6.0146
_cell_length_c 7.6123
_cell_angle_alpha 90.00
_cell_angle_beta 90.00
_cell_angle_gamma 120.00
_symmetry_space_group_name_H-M 'P 6/m m m'
_symmetry_Int_Tables_number 191
_symmetry_space_group_name_Hall '-P 6 2'
loop_
_atom_site_label
_atom_site_type_symbol
_atom_site_fract_x
_atom_site_fract_y
_atom_site_fract_z
Ag1 Ag 0.0000 0.0000 0.0000
Te1 Te 0.0000 0.0000 0.5000
Te2 Te 0.3333 0.6667 0.2261
Pt1 Pt 0.0000 0.5000 0.5000
```

Calculated values
Crystal system: hexagonal

3.
Material: MgBiAu
Method: DFT, GGA-PBE
State: relaxed

```
data_MgBiAu
_chemical_formula_sum 'Mg4 Bi4 Au4'
_cell_length_a 7.358
_cell_length_b 4.433
_cell_length_c 8.701
_cell_angle_alpha 90.00
_cell_angle_beta 90.00
_cell_angle_gamma 90.00
_symmetry_space_group_name_H-M 'P n m a'
_symmetry_Int_Tables_number 62
_symmetry_space_group_name_Hall '-P 2ac 2n'
loop_
_atom_site_label
_atom_site_type_symbol
_atom_site_fract_x
_atom_site_fract_y
_atom_site_fract_z
Mg1 Mg 0.072 0.250 0.225
Bi1 Bi 0.176 0.250 0.562
Au1 Au 0.100 0.250 0.902
```

Calculated values
Crystal system: orthorhombic

Number 1: VASP energy -3.997 eV/atom. Number 2: VASP energy -3.970 eV/atom. Number 3: VASP energy -3.166 eV/atom.